(1)
The following is a PBE calculation of an optimized crystal structure of Zn4WN4, from Alexandria via LeMat-Bulk.

Output
Total moment = 0.000 μB/atom
E_tot = -50.32 eV per formula unit
Uncorrected formation energy = 115 meV/atom

a b c (Å): 8.5083 7.4935 7.4572
angles (deg): 90.00 90.00 90.00
Closest atoms and distances in Å follow each position.
Space group Cmcm (No. 63)
Symmetry-distinct sites (fractional):
Zn: 0.1400 0.2051 0.2500 [8 per cell]  2 N 2.09-2.13
Zn: 0.1658 0.5000 0.0000 [8 per cell]  4 N 2.08-2.14
W: 0.0000 0.1585 0.7500 [4 per cell]  4 N 1.84-2.03
N: 0.0000 0.3033 0.5511 [8 per cell]  1 W 1.84
N: 0.2234 0.0627 0.7500 [8 per cell]  1 W 2.03, 4 Zn 2.09-2.14

(2)
The following is a PBE calculation of an optimized crystal structure of TmScZnCo, from Alexandria via LeMat-Bulk.

Output
Total moment = 0.000 μB/atom
E_tot = -20.33 eV per formula unit
Calculated formation energy = -111 kJ/mol of formula units
Polymorph energy (0 for the lowest one) = 1.14 kcal/mol of atoms

a b c (Å): 6.6279 6.6279 6.6279
angles (deg): 90.00 90.00 90.00
Closest atoms and distances in Å follow each position.
Space group F-43m (No. 216)
Symmetry-distinct sites (fractional):
Tm: 0.0000 0.0000 0.0000 [4 per cell]  4 Zn 2.87, 4 Co 2.87
Sc: 0.0000 0.0000 0.5000 [4 per cell]  4 Co 2.87, 4 Zn 2.87
Zn: 0.2500 0.2500 0.7500 [4 per cell]  4 Tm 2.87, 4 Sc 2.87
Co: 0.2500 0.2500 0.2500 [4 per cell]  4 Tm 2.87, 4 Sc 2.87